VASP calculation (PBE with a Hubbard U) on crystalline LiCoPO2 at its relaxed geometry.

Calculated values
VASP energy: -3.98 eV per atom
magnetization: 3.73 μB/cell
DOS(E_F): 0.69 states/eV per atom
density: 3.58 Mg/m³
excess energy over the best structure of this formula in the dataset: 652 meV per atom
SG: P4/mmm, No. 123

Unit cell a=3.5433 b=3.5433 c=4.7540 alpha=90.00 beta=90.00 gamma=90.00
Closest atoms and distances in Å follow each position.
Fractional coordinates of all 5 atoms:
Li1 0.0000 0.0000 0.0000  4 O 1.77
Co1 0.5000 0.5000 0.5000  4 P 2.51
P1 0.0000 0.0000 0.5000  2 Li 2.38, 4 Co 2.51
O1 0.0000 0.5000 0.0000  2 Li 1.77
O2 0.5000 0.0000 0.0000  2 Li 1.77